[1]
The following is a DFT calculation (GGA-PBE) of an optimized crystal structure of Er2Be2GaPd5.

space-group type = P4/mbm (127)
volume = 157.3 Å³/f.u.
DFT formation energy = -0.78 eV per atom
Fermi-level density of states = 4.111 states/eV/f.u.
VASP energy = -5.336 eV per atom

```
data_Er2Be2GaPd5
_chemical_formula_sum 'Er4 Be4 Ga2 Pd10'
_cell_length_a 9.572
_cell_length_b 9.572
_cell_length_c 3.435
_cell_angle_alpha 90.00
_cell_angle_beta 90.00
_cell_angle_gamma 90.00
_symmetry_space_group_name_H-M 'P 1'
_symmetry_Int_Tables_number 1
loop_
_symmetry_equiv_pos_as_xyz
'x,y,z'
loop_
_atom_site_label
_atom_site_fract_x
_atom_site_fract_y
_atom_site_fract_z
Er1 0.177 0.323 0.000
Er2 0.323 0.823 0.000
Er3 0.677 0.177 0.000
Er4 0.823 0.677 0.000
Be1 0.119 0.619 0.000
Be2 0.381 0.119 0.000
Be3 0.619 0.881 0.000
Be4 0.881 0.381 0.000
Ga1 0.000 0.000 0.000
Ga2 0.500 0.500 0.000
Pd1 0.000 0.500 0.500
Pd2 0.068 0.787 0.500
Pd3 0.213 0.068 0.500
Pd4 0.287 0.568 0.500
Pd5 0.432 0.287 0.500
Pd6 0.500 0.000 0.500
Pd7 0.568 0.713 0.500
Pd8 0.713 0.432 0.500
Pd9 0.787 0.932 0.500
Pd10 0.932 0.213 0.500
```

[2]
The following is a DFT calculation (GGA-PBE) of an optimized crystal structure of CsBrO4.

space-group type = Cmcm (63)
volume = 115.6 Å³/f.u.
Fermi-level density of states = 1.807 states/eV/f.u.
VASP energy = -3.704 eV per atom

```
data_CsBrO4
_chemical_formula_sum 'Cs2 Br2 O8'
_cell_length_a 8.481
_cell_length_b 8.481
_cell_length_c 7.194
_cell_angle_alpha 90.00
_cell_angle_beta 90.00
_cell_angle_gamma 153.47
_symmetry_space_group_name_H-M 'P 1'
_symmetry_Int_Tables_number 1
loop_
_symmetry_equiv_pos_as_xyz
'x,y,z'
loop_
_atom_site_label
_atom_site_fract_x
_atom_site_fract_y
_atom_site_fract_z
Cs1 0.126 0.874 0.750
Cs2 0.874 0.126 0.250
Br1 0.385 0.615 0.750
Br2 0.615 0.385 0.250
O1 0.075 0.925 0.250
O2 0.322 0.678 0.569
O3 0.322 0.678 0.931
O4 0.500 0.500 0.000
O5 0.500 0.500 0.500
O6 0.678 0.322 0.069
O7 0.678 0.322 0.431
O8 0.925 0.075 0.750
```